Entry 1:
PmMg2: relaxed, GGA-PBE.

polymorph energy (0 for the lowest one)	46	meV/atom

abc: 14.795 4.179 5.245
angles: 90.00 90.00 90.00
Positions (direct):
Pm: 0.136 0.500 0.000
Pm: 0.308 0.500 0.500
Pm: 0.636 0.000 0.000
Pm: 0.808 0.000 0.500
Mg: 0.481 0.000 0.500
Mg: 0.964 0.000 0.000
Mg: 0.464 0.500 0.000
Mg: 0.815 0.500 0.000
Mg: 0.129 0.000 0.500
Mg: 0.629 0.500 0.500
Mg: 0.980 0.500 0.500
Mg: 0.315 0.000 0.000



Entry 2:
PmMg3: relaxed, GGA-PBE.

abc: 6.782 6.786 5.218
angles: 90.00 90.00 119.98
Positions (direct):
Mg: 0.581 0.662 0.000
Mg: 0.255 0.495 0.500
Mg: 0.740 0.495 0.500
Mg: 0.093 0.171 0.000
Mg: 0.252 0.005 0.500
Mg: 0.578 0.171 0.000
Pm: 0.751 0.001 0.500
Pm: 0.083 0.666 0.000



Entry 3:
PmMg: relaxed, GGA-PBE.

polymorph energy (0 for the lowest one)	169	meV/atom

abc: 3.470 3.470 5.652
angles: 90.00 90.00 120.00
Positions (direct):
Mg: 0.667 0.333 0.750
Pm: 0.333 0.667 0.250



Entry 4:
Pm2Mg: relaxed, GGA-PBE.

polymorph energy (0 for the lowest one)	1813	meV/atom

abc: 9.531 9.531 9.531
angles: 60.00 60.00 60.00
Positions (direct):
Pm: 0.375 0.875 0.375
Pm: 0.375 0.375 0.375
Pm: 0.375 0.375 0.875
Pm: 0.875 0.375 0.375
Mg: 0.500 0.500 0.500
Mg: 0.250 0.250 0.250



Entry 5:
PmMg: relaxed, GGA-PBE.

polymorph energy (0 for the lowest one)	1	meV/atom

abc: 5.466 3.864 5.452
angles: 90.00 90.00 90.00
Positions (direct):
Pm: 0.750 0.500 0.257
Pm: 0.250 0.500 0.743
Mg: 0.750 0.000 0.760
Mg: 0.250 0.000 0.240



Entry 6:
PmMg: relaxed, GGA-PBE.

polymorph energy (0 for the lowest one)	143	meV/atom

abc: 5.890 7.137 5.497
angles: 90.00 90.00 90.00
Positions (direct):
Mg: 0.335 0.500 0.500
Mg: 0.489 0.268 0.000
Mg: 0.007 0.500 0.000
Mg: 0.489 0.732 0.000
Pm: 0.840 0.260 0.500
Pm: 0.973 0.000 0.000
Pm: 0.359 0.000 0.500
Pm: 0.840 0.740 0.500



Calculated total energy for every record listed, in sequence, given in eV/atom: -2.6645; -2.4412; -3.0859; -1.5818; -3.2544; -3.1124.
Spin magnetization for every record listed, in sequence, given in μB per atom: 0.000; 0.004; 0.015; 1.048; 0.002; 0.004.